(1)
Density functional theory data (GGA-PBE) for a relaxed structure of BaNaLaSn.

## Properties
The calculation puts the formation energy at -0.320 eV/atom. Its calculated volume is 35.1 A^3/atom. The size of the total moment comes out at 0.00 μB/atom.

Cell lengths 8.2539, 8.2539, 8.2539 Å; angles 90.00, 90.00, 90.00 degrees
Last column: nearest neighbours and their distance in Å.
Space group F-43m (No. 216)
One atom of each set of equivalent atoms:
Ba1 0.0000 0.0000 0.0000 [4 per cell]  4 Na 3.57, 4 Sn 3.57
Na1 0.2500 0.2500 0.2500 [4 per cell]  4 La 3.57, 4 Ba 3.57
La1 0.0000 0.0000 0.5000 [4 per cell]  4 Sn 3.57, 4 Na 3.57
Sn1 0.2500 0.2500 0.7500 [4 per cell]  4 Ba 3.57, 4 La 3.57

=====

(2)
Density functional theory data (GGA-PBE) for a relaxed structure of BaNa2LaTa.

## Properties
The calculation puts the formation energy at 1.774 eV/atom. Its calculated volume is 37.1 A^3/atom. The size of the total moment comes out at 0.58 μB/atom.

Cell lengths 5.5290, 5.5290, 6.0721 Å; angles 90.00, 90.00, 90.00 degrees
Last column: nearest neighbours and their distance in Å.
Space group P4/mmm (No. 123)
One atom of each set of equivalent atoms:
Ba1 0.0000 0.0000 0.0000 [1 per cell]  4 Na 2.76, 2 La 3.04
Na1 0.0000 0.5000 0.0000 [2 per cell]  2 Ba 2.76
La1 0.0000 0.0000 0.5000 [1 per cell]  2 Ba 3.04
Ta1 0.5000 0.5000 0.5000 [1 per cell]  4 La 3.91, 8 Na 4.11

=====

(3)
Density functional theory data (GGA-PBE) for a relaxed structure of BaNaLaTe3.

## Properties
Its calculated volume is 38.3 A^3/atom. Its uncorrected formation energy is -8.65 eV per formula unit. The size of the total moment comes out at 0.00 μB/atom.

Cell lengths 9.6431, 4.7670, 10.3405 Å; angles 90.00, 104.63, 90.00 degrees
Last column: nearest neighbours and their distance in Å.
Space group P2_1/m (No. 11)
One atom of each set of equivalent atoms:
Ba1 0.2005 0.2500 0.2374 [2 per cell]  7 Te 3.58-3.74, 1 Na 3.99
Na1 0.0889 0.2500 0.5834 [2 per cell]  4 Te 2.99-3.13, 2 Na 3.18
La1 0.3256 0.7500 0.8383 [2 per cell]  6 Te 3.25-3.29
Te1 0.1044 0.2500 0.8756 [2 per cell]  1 Na 2.99, 2 La 3.29
Te2 0.2457 0.7500 0.5119 [2 per cell]  3 Na 3.01-3.13, 1 La 3.27
Te3 0.4452 0.7500 0.1620 [2 per cell]  3 La 3.25, 2 Ba 3.58

=====

(4)
Density functional theory data (GGA-PBE) for a relaxed structure of BaNaLa2Te4.

## Properties
Its calculated volume is 37.1 A^3/atom. Its uncorrected formation energy is -12.23 eV per formula unit. The size of the total moment comes out at 0.00 μB/atom.

Cell lengths 9.4309, 9.4336, 13.3390 Å; angles 90.00, 90.00, 90.00 degrees
Last column: nearest neighbours and their distance in Å.
Space group Imma (No. 74)
One atom of each set of equivalent atoms:
Ba1 0.2500 0.2500 0.2500 [4 per cell]  6 Te 3.44
Na1 0.0000 0.0000 0.0000 [4 per cell]  6 Te 3.38-3.39
La1 0.0000 0.0000 0.5000 [4 per cell]  6 Te 3.29-3.30
La2 0.2500 0.2500 0.7500 [4 per cell]  6 Te 3.23-3.24
Te1 0.0000 0.0149 0.7470 [8 per cell]  3 La 3.24-3.30, 1 Na 3.38, 2 Ba 3.44
Te2 0.2427 0.2500 0.5079 [8 per cell]  3 La 3.23-3.29, 2 Na 3.39, 1 Ba 3.44

=====

(5)
Density functional theory data (GGA-PBE) for a relaxed structure of Ba4NaLa3Te8.

## Properties
Its calculated volume is 38.8 A^3/atom. Its uncorrected formation energy is -25.94 eV per formula unit. The size of the total moment comes out at 0.00 μB/atom.

Cell lengths 9.5367, 9.5367, 23.6447 Å; angles 90.00, 90.00, 120.00 degrees
Last column: nearest neighbours and their distance in Å.
Space group R-3m (No. 166, hexagonal axes)
One atom of each set of equivalent atoms:
Ba1 0.0000 0.0000 0.0000 [3 per cell]  6 Te 3.47
Ba2 0.0000 0.5000 0.0000 [9 per cell]  6 Te 3.49-3.51
Na1 0.0000 0.0000 0.5000 [3 per cell]  6 Te 3.31
La1 0.0000 0.5000 0.5000 [9 per cell]  6 Te 3.27-3.29
Te1 0.0000 0.0000 0.2427 [6 per cell]  3 La 3.29, 3 Ba 3.49
Te2 0.0033 0.5017 0.7577 [18 per cell]  2 La 3.27, 1 Na 3.31, 3 Ba 3.47-3.51

=====

(6)
Density functional theory data (GGA-PBE) for a relaxed structure of BaNa2LaTl.

## Properties
The calculation puts the formation energy at 0.663 eV/atom. Its calculated volume is 40.4 A^3/atom. The size of the total moment comes out at 0.06 μB/atom.

Cell lengths 5.7835, 5.7835, 6.0354 Å; angles 90.00, 90.00, 90.00 degrees
Last column: nearest neighbours and their distance in Å.
Space group P4/mmm (No. 123)
One atom of each set of equivalent atoms:
Ba1 0.0000 0.0000 0.0000 [1 per cell]  4 Na 2.89, 2 Tl 3.02
Na1 0.0000 0.5000 0.0000 [2 per cell]  2 Ba 2.89
La1 0.5000 0.5000 0.5000 [1 per cell]  4 Tl 4.09, 8 Na 4.18
Tl1 0.0000 0.0000 0.5000 [1 per cell]  2 Ba 3.02

=====

(7)
Density functional theory data (GGA-PBE) for a relaxed structure of BaNaLaTl.

## Properties
The calculation puts the formation energy at -0.099 eV/atom. Its calculated volume is 36.7 A^3/atom. The size of the total moment comes out at 0.00 μB/atom.

Cell lengths 8.3744, 8.3744, 8.3744 Å; angles 90.00, 90.00, 90.00 degrees
Last column: nearest neighbours and their distance in Å.
Space group F-43m (No. 216)
One atom of each set of equivalent atoms:
Ba1 0.0000 0.0000 0.0000 [4 per cell]  4 Tl 3.63, 4 Na 3.63
Na1 0.2500 0.2500 0.2500 [4 per cell]  4 Ba 3.63, 4 La 3.63
La1 0.0000 0.0000 0.5000 [4 per cell]  4 Na 3.63, 4 Tl 3.63
Tl1 0.2500 0.2500 0.7500 [4 per cell]  4 Ba 3.63, 4 La 3.63

=====

(8)
Density functional theory data (GGA-PBE) for a relaxed structure of BaLaNb2.

## Properties
The calculation puts the formation energy at 1.316 eV/atom. Its calculated volume is 27.8 A^3/atom. The size of the total moment comes out at 0.00 μB/atom.

Cell lengths 8.6289, 8.6289, 5.9823 Å; angles 90.00, 90.00, 90.00 degrees
Last column: nearest neighbours and their distance in Å.
Space group I-42d (No. 122)
One atom of each set of equivalent atoms:
Ba1 0.0000 0.0000 0.0000 [4 per cell]  2 La 2.99, 4 Nb 3.19
La1 0.0000 0.0000 0.5000 [4 per cell]  2 Ba 2.99, 4 Nb 3.10
Nb1 0.2426 0.2500 0.6250 [8 per cell]  2 Nb 2.99, 2 La 3.10, 2 Ba 3.19

=====

no.,calculated density (g/cm3),calculated total energy (eV per atom)
1,4.9,-3.363
2,4.5,-2.494
3,4.9,-4.374
4,5.3,-4.737
5,5.4,-4.679
6,4.3,-1.708
7,5.7,-2.733
8,6.9,-5.432